Entry 1:
VASP calculation (GGA-PBE) on a geometry-optimized IrWAu structure.

## Properties
Electronic total energy   -8.271 eV/atom
N(E_F)   1.13 states/eV/cell
Calculated volume   16.210 Å³ per atom
Offset from the most stable computed form   27 meV per atom
Magnetic moment   0.0 μB/f.u.
ΔE_f   0.092 eV/atom

The structure in POSCAR format:
```
IrWAu
1.0
-1.924 1.165 1.691
-0.505 -2.498 -1.194
2.929 -3.258 5.576
Au Ir W
1 1 1
Cartesian
2.924 -3.251 5.565
-0.420 -1.202 2.691
0.927 -3.395 3.393
```

---

Entry 2:
VASP calculation (GGA-PBE) on a geometry-optimized Fe2Mo structure.

## Properties
Electronic total energy   -9.235 eV/atom
N(E_F)   10.04 states/eV/cell
Calculated volume   12.357 Å³ per atom
Magnetic moment   2.5 μB/f.u.
ΔE_f   0.017 eV/atom

The structure in POSCAR format:
```
Fe2Mo
1.0
-0.239 -2.608 -3.921
3.790 -2.382 -1.482
0.328 -2.098 4.210
Fe Mo
4 2
Cartesian
2.059 -2.240 1.364
1.939 -3.544 -0.596
0.164 -1.049 2.105
1.775 -2.495 -2.702
0.455 -1.212 -0.639
3.424 -5.876 -0.554
```

---

Entry 3:
VASP calculation (GGA-PBE) on a geometry-optimized ZrTlCl2 structure.

## Properties
Electronic total energy   -4.602 eV/atom
N(E_F)   1.37 states/eV/cell
Calculated volume   25.944 Å³ per atom
Offset from the most stable computed form   128 meV per atom
Magnetic moment   0.0 μB/f.u.

The structure in POSCAR format:
```
ZrTlCl2
1.0
6.428 0.000 0.009
2.909 5.732 -0.009
-3.711 -4.427 2.821
Tl Zr Cl
1 1 2
Cartesian
3.693 -0.781 1.415
1.934 2.086 1.406
0.597 0.366 0.000
4.072 2.500 0.000
```